Entry from the Alexandria database: a relaxed structure of SrAl2Sb2 (PBE-GGA).

The calculation puts the density of states at the Fermi level at 6.31 states/eV per cell. As for the total energy: -3.707 eV per atom. Its uncorrected formation energy is -0.22 eV/atom.

Cell lengths 4.2627, 4.2627, 15.0887 Å; angles 90.00, 90.00, 90.00 degrees
With the nearest neighbours (Å) after each atom.
Space group I4/mmm (No. 139)
Symmetry-distinct sites (fractional):
Sr 0.0000 0.0000 0.0000 (multiplicity 2)  8 Sb 3.51
Al 0.0000 0.5000 0.2500 (multiplicity 4)  4 Sb 2.91, 4 Al 3.01
Sb 0.0000 0.0000 0.3809 (multiplicity 4)  4 Al 2.91